Computed, not measured: a relaxed ThSnGe crystal at the PBE level of DFT.

Output
crystal system: orthorhombic
energy relative to the elements: -0.61 eV per atom
calculated volume: 310.5 Å³/cell

a = 4.372 Å, b = 17.069 Å, c = 4.161 Å
α = 90.00°, β = 90.00°, γ = 90.00°
Space group Cmcm (No. 63)
Unique sites:
Th 0.000 0.097 0.250
Sn 0.000 0.252 0.750
Ge 0.000 0.449 0.250

Computed, not measured: a relaxed Th2SnGe crystal at the PBE level of DFT.

Output
crystal system: orthorhombic
energy relative to the elements: -0.64 eV per atom
calculated volume: 471.7 Å³/cell

a = 4.422 Å, b = 24.122 Å, c = 4.422 Å
α = 90.00°, β = 90.00°, γ = 90.00°
Space group Cmcm (No. 63)
Unique sites:
Th 0.000 0.068 0.250
Th 0.000 0.313 0.250
Sn 0.000 0.453 0.250
Ge 0.000 0.190 0.250

Computed, not measured: a relaxed Th2SnGe crystal at the PBE level of DFT.

Output
crystal system: trigonal
energy relative to the elements: -0.62 eV per atom
calculated volume: 365.4 Å³/cell

a = 4.3913 Å, b = 4.3913 Å, c = 21.8778 Å
α = 90.00°, β = 90.00°, γ = 120.00°
Space group R-3m (No. 166, hexagonal axes)
Unique sites:
Th 0.0000 0.0000 0.2444
Sn 0.0000 0.0000 0.0000
Ge 0.0000 0.0000 0.5000

Computed, not measured: a relaxed Th3Sn2Ge crystal at the PBE level of DFT.

Output
crystal system: orthorhombic
energy relative to the elements: -0.50 eV per atom
calculated volume: 697.9 Å³/cell

a = 12.826 Å, b = 4.471 Å, c = 12.171 Å
α = 90.00°, β = 90.00°, γ = 90.00°
Space group Pnma (No. 62)
Unique sites:
Th 0.046 0.250 0.120
Th 0.116 0.750 0.553
Th 0.233 0.250 0.784
Sn 0.001 0.250 0.702
Sn 0.189 0.750 0.004
Ge 0.126 0.250 0.373